(1)
A relaxed structure of LiCr2P2, computed with GGA-PBE.

Results
Space-group type: No. 127
Energy relative to the elements (meV per atom): -395
Electronic total energy (eV/atom): -6.791
Calculated density (g/cm3): 4.8
Size of the total moment (μB/cell): 2.04

Geometry as POSCAR:
```
LiCr2P2
1.0
6.4497 0.0000 0.0000
0.0000 6.4497 0.0000
0.0000 0.0000 2.8862
Li Cr P
2 4 4
direct
0.0000 0.0000 0.0000
0.5000 0.5000 0.0000
0.1473 0.3527 0.5000
0.3527 0.8527 0.5000
0.6473 0.1473 0.5000
0.8527 0.6473 0.5000
0.1461 0.6461 0.0000
0.3539 0.1461 0.0000
0.6461 0.8539 0.0000
0.8539 0.3539 0.0000
```

=====

(2)
A relaxed structure of Ac3Tm2Tl4, computed with GGA-PBE.

Results
Space-group type: No. 12
Energy relative to the elements (meV per atom): -260
Polymorph energy (0 for the lowest one) (eV/atom): 0.019
Electronic total energy (eV/atom): -3.675
Calculated density (g/cm3): 9.8
Size of the total moment (μB/cell): 0.00

Geometry as POSCAR:
```
Ac3Tm2Tl4
1.0
6.2278 -2.4502 0.0000
6.2278 2.4502 0.0000
-0.7143 0.0000 10.2311
Ac Tm Tl
3 2 4
direct
0.0000 0.0000 0.0000
0.3828 0.3828 0.6097
0.6172 0.6172 0.3903
0.3116 0.3116 0.2245
0.6884 0.6884 0.7755
0.0860 0.0860 0.6368
0.3082 0.3082 0.9218
0.6918 0.6918 0.0782
0.9140 0.9140 0.3632
```

=====

(3)
A relaxed structure of NaMnCo3, computed with GGA-PBE.

Results
Space-group type: No. 221
Energy relative to the elements (meV per atom): 1073
Polymorph energy (0 for the lowest one) (eV/atom): 0.000
Electronic total energy (eV/atom): -5.288
Calculated density (g/cm3): 5.4
Size of the total moment (μB/cell): 2.27

Geometry as POSCAR:
```
NaMnCo3
1.0
4.2659 0.0000 0.0000
0.0000 4.2659 0.0000
0.0000 0.0000 4.2659
Na Mn Co
1 1 3
direct
0.0000 0.0000 0.0000
0.5000 0.5000 0.5000
0.0000 0.5000 0.5000
0.5000 0.0000 0.5000
0.5000 0.5000 0.0000
```

=====

(4)
A relaxed structure of Ti6AsN4, computed with GGA-PBE.

Results
Space-group type: No. 63
Formation energy from raw total energies (eV per atom): -1.48
Electronic total energy (eV/atom): -9.238
Calculated density (g/cm3): 5.5
Size of the total moment (μB/cell): 0.00

Geometry as POSCAR:
```
Ti6AsN4
1.0
1.5702 -5.0623 0.0000
1.5702 5.0623 0.0000
0.0000 0.0000 15.7855
Ti As N
12 2 8
direct
0.0000 0.0000 0.0000
0.0000 0.0000 0.5000
0.1415 0.8585 0.7500
0.2781 0.7219 0.0797
0.2781 0.7219 0.4203
0.4609 0.5391 0.6488
0.4609 0.5391 0.8512
0.5391 0.4609 0.1488
0.5391 0.4609 0.3512
0.7219 0.2781 0.5797
0.7219 0.2781 0.9203
0.8585 0.1415 0.2500
0.1647 0.8353 0.2500
0.8353 0.1647 0.7500
0.0905 0.9095 0.6222
0.0905 0.9095 0.8778
0.3613 0.6387 0.5387
0.3613 0.6387 0.9613
0.6387 0.3613 0.0387
0.6387 0.3613 0.4613
0.9095 0.0905 0.1222
0.9095 0.0905 0.3778
```

=====

(5)
A relaxed structure of CsMnGePt2, computed with GGA-PBE.

Results
Space-group type: No. 123
Energy relative to the elements (meV per atom): 2078
Electronic total energy (eV/atom): -3.266
Calculated density (g/cm3): 7.0
Size of the total moment (μB/cell): 4.16

Geometry as POSCAR:
```
CsMnGePt2
1.0
5.2111 0.0000 0.0000
0.0000 5.2111 0.0000
0.0000 0.0000 5.7025
Cs Mn Ge Pt
1 1 1 2
direct
0.0000 0.0000 0.0000
0.5000 0.5000 0.5000
0.0000 0.0000 0.5000
0.0000 0.5000 0.0000
0.5000 0.0000 0.0000
```

=====

(6)
A relaxed structure of SrPrP2, computed with GGA-PBE.

Results
Space-group type: No. 160
Energy relative to the elements (meV per atom): -1034
Polymorph energy (0 for the lowest one) (eV/atom): 0.079
Electronic total energy (eV/atom): -5.354
Calculated density (g/cm3): 4.2
Size of the total moment (μB/cell): 0.00

Geometry as POSCAR:
```
SrPrP2
1.0
2.1066 1.2162 7.3934
-2.1066 1.2162 7.3934
0.0000 -2.4324 7.3934
Sr Pr P
1 1 2
direct
0.0000 0.0000 0.0000
0.1725 0.1725 0.1725
0.5801 0.5801 0.5801
0.7603 0.7603 0.7603
```

=====

(7)
A relaxed structure of Sr2Zn9Rh3, computed with GGA-PBE.

Results
Space-group type: No. 15
Energy relative to the elements (meV per atom): -320
Electronic total energy (eV/atom): -2.954
Calculated density (g/cm3): 7.0
Size of the total moment (μB/cell): 0.00

Geometry as POSCAR:
```
Sr2Zn9Rh3
1.0
6.8377 -3.7950 0.0000
6.8377 3.7950 0.0000
-4.8849 0.0000 9.7550
Sr Zn Rh
4 18 6
direct
0.0910 0.2549 0.2424
0.2549 0.0910 0.7424
0.7451 0.9090 0.2576
0.9090 0.7451 0.7576
0.0340 0.8447 0.0758
0.1553 0.9660 0.4242
0.1944 0.3635 0.5587
0.2234 0.5791 0.2544
0.3320 0.4922 0.9800
0.3611 0.6389 0.7500
0.3635 0.1944 0.0587
0.4209 0.7766 0.2456
0.4922 0.3320 0.4800
0.5078 0.6680 0.5200
0.5791 0.2234 0.7544
0.6365 0.8056 0.9413
0.6389 0.3611 0.2500
0.6680 0.5078 0.0200
0.7766 0.4209 0.7456
0.8056 0.6365 0.4413
0.8447 0.0340 0.5758
0.9660 0.1553 0.9242
0.0000 0.5000 0.0000
0.1445 0.6833 0.4976
0.3167 0.8555 0.0024
0.5000 0.0000 0.5000
0.6833 0.1445 0.9976
0.8555 0.3167 0.5024
```

=====

(8)
A relaxed structure of SmY5Th2, computed with GGA-PBE.

Results
Space-group type: No. 71
Energy relative to the elements (meV per atom): 96
Electronic total energy (eV/atom): -6.389
Calculated density (g/cm3): 6.6
Size of the total moment (μB/cell): 0.00

Geometry as POSCAR:
```
SmY5Th2
1.0
-1.7692 5.6346 6.6494
1.7692 -5.6346 6.6494
1.7692 5.6346 -6.6494
Sm Y Th
1 5 2
direct
0.0000 0.0000 0.0000
0.1369 0.3688 0.7681
0.3994 0.6312 0.7681
0.5000 0.0000 0.5000
0.6006 0.3688 0.2319
0.8631 0.6312 0.2319
0.2390 0.7390 0.5000
0.7610 0.2610 0.5000
```

=====

(9)
A relaxed structure of HoTmLuZr, computed with GGA-PBE.

Results
Space-group type: No. 216
Energy relative to the elements (meV per atom): 197
Electronic total energy (eV/atom): -5.332
Calculated density (g/cm3): 8.8
Size of the total moment (μB/cell): 2.65

Geometry as POSCAR:
```
HoTmLuZr
1.0
0.0000 3.8386 3.8386
3.8386 0.0000 3.8386
3.8386 3.8386 0.0000
Ho Tm Lu Zr
1 1 1 1
direct
0.0000 0.0000 0.0000
0.2500 0.2500 0.2500
0.7500 0.7500 0.7500
0.5000 0.5000 0.5000
```

=====

(10)
A relaxed structure of Ca4As2Au, computed with GGA-PBE.

Results
Space-group type: No. 166
Energy relative to the elements (meV per atom): -959
Electronic total energy (eV/atom): -3.900
Calculated density (g/cm3): 4.6
Size of the total moment (μB/cell): 0.00

Geometry as POSCAR:
```
Ca4As2Au
1.0
2.5233 1.4568 8.3694
-2.5233 1.4568 8.3694
0.0000 -2.9137 8.3694
Ca As Au
4 2 1
direct
0.1243 0.1243 0.1243
0.3744 0.3744 0.3744
0.6256 0.6256 0.6256
0.8757 0.8757 0.8757
0.2445 0.2445 0.2445
0.7555 0.7555 0.7555
0.0000 0.0000 0.0000
```

=====

(11)
A relaxed structure of Na3Y2PaS6, computed with GGA-PBE.

Results
Space-group type: No. 12
Formation energy from raw total energies (eV per atom): -1.69
Electronic total energy (eV/atom): -5.953
Calculated density (g/cm3): 4.0
Size of the total moment (μB/cell): 1.71

Geometry as POSCAR:
```
Na3Y2PaS6
1.0
3.4387 -5.9560 0.0000
3.4387 5.9560 0.0000
-2.2927 0.0000 6.7288
Na Y Pa S
3 2 1 6
direct
0.0000 0.0000 0.0000
0.3319 0.6681 0.0000
0.6681 0.3319 0.0000
0.1666 0.8334 0.5000
0.8334 0.1666 0.5000
0.5000 0.5000 0.5000
0.0926 0.4231 0.2694
0.2464 0.2464 0.7303
0.4231 0.0926 0.2694
0.5769 0.9074 0.7306
0.7536 0.7536 0.2697
0.9074 0.5769 0.7306
```

=====

(12)
A relaxed structure of SrCdRe2, computed with GGA-PBE.

Results
Space-group type: No. 12
Energy relative to the elements (meV per atom): 703
Electronic total energy (eV/atom): -6.170
Calculated density (g/cm3): 9.3
Size of the total moment (μB/cell): 0.00

Geometry as POSCAR:
```
SrCdRe2
1.0
4.9894 -1.9196 0.0000
4.9894 1.9196 0.0000
-1.8993 0.0000 5.3342
Sr Cd Re
1 1 2
direct
0.0000 0.0000 0.0000
0.5000 0.5000 0.5000
0.2333 0.2333 0.6101
0.7667 0.7667 0.3899
```

=====

The highest size of the total moment belongs to which entry? CsMnGePt2